Density functional theory data (PBE) for an optimized crystal structure of Gd2ErMn.

Output
total moment	11.64	μB/cell
space group	P4/mmm
theoretical density	8.23	g/cm3
energy	-10.28	eV/atom
energy of formation	0.19	eV per atom

Cell lengths 4.5735, 4.8651, 4.8651 Å; angles 90.00, 90.00, 90.00 degrees
Each line ends with the local moment (μB).
Atoms (fractional coordinates):
1 Gd 0.0000 0.0000 0.5000  7.34
2 Gd 0.0000 0.5000 0.0000  7.34
3 Mn 0.5000 0.0000 0.0000  -3.76
4 Er 0.5000 0.5000 0.5000  0.34

---

Density functional theory data (PBE) for an optimized crystal structure of Ce2NpIr9.

Output
total moment	3.20	μB/cell
space group	R-3m
theoretical density	17.27	g/cm3
energy	-9.20	eV/atom
energy of formation	-0.49	eV per atom

Cell lengths 5.3099, 5.3099, 9.3630 Å; angles 73.53, 73.53, 60.00 degrees
Each line ends with the local moment (μB).
Atoms (fractional coordinates):
1 Ce 0.8612 0.8612 0.4165  0.17
2 Ce 0.1388 0.1388 0.5835  0.17
3 Np 0.0000 0.0000 0.0000  3.47
4 Ir 0.6666 0.6666 0.0002  -0.25
5 Ir 0.3334 0.3334 0.9998  -0.25
6 Ir 0.5000 0.5000 0.5000  -0.05
7 Ir 0.4175 0.4175 0.2464  -0.06
8 Ir 0.9187 0.4175 0.2464  -0.06
9 Ir 0.4175 0.9187 0.2464  -0.06
10 Ir 0.5825 0.5825 0.7536  -0.06
11 Ir 0.5825 0.0813 0.7536  -0.06
12 Ir 0.0813 0.5825 0.7536  -0.06

---

Density functional theory data (PBE) for an optimized crystal structure of InAgP.

Output
total moment	0.00	μB/cell
space group	I4mm
theoretical density	6.99	g/cm3
energy	-3.37	eV/atom
energy of formation	0.29	eV per atom

Cell lengths 5.0259, 5.0259, 5.0259 Å; angles 136.08, 136.10, 63.84 degrees
Atoms (fractional coordinates):
1 Ag 0.9997 0.9997 0.0000
2 In 0.3268 0.3268 0.0000
3 P 0.6735 0.6735 0.0000

---

Density functional theory data (PBE) for an optimized crystal structure of SrAcGa.

Output
total moment	0.00	μB/cell
space group	F-43m
theoretical density	5.53	g/cm3
energy	-3.13	eV/atom
energy of formation	-0.19	eV per atom

Cell lengths 5.4657, 5.4657, 5.4657 Å; angles 60.00, 60.00, 60.00 degrees
Atoms (fractional coordinates):
1 Sr 0.5000 0.5000 0.5000
2 Ac 0.0000 0.0000 0.0000
3 Ga 0.2500 0.2500 0.2500

---

- Which formula does entry 2 have?
  Ce2NpIr9

---

Repeat the third record exactly.
Density functional theory data (PBE) for an optimized crystal structure of InAgP.

Output
total moment	0.00	μB/cell
space group	I4mm
theoretical density	6.99	g/cm3
energy	-3.37	eV/atom
energy of formation	0.29	eV per atom

Cell lengths 5.0259, 5.0259, 5.0259 Å; angles 136.08, 136.10, 63.84 degrees
Atoms (fractional coordinates):
1 Ag 0.9997 0.9997 0.0000
2 In 0.3268 0.3268 0.0000
3 P 0.6735 0.6735 0.0000